The following is a PBE calculation of a relaxed structure of Mg2TcS, from Alexandria via LeMat-Bulk.

Output
Symmetry ... I-42d
Formation energy from raw total energies ... 196.5 meV per atom
VASP energy ... -4.224 eV per atom

a = 7.429 Å, b = 7.429 Å, c = 5.134 Å
α = 90.00°, β = 90.00°, γ = 90.00°
Element x y z (fractional)
Mg (0.202, 0.750, 0.125)
Mg (0.250, 0.202, 0.875)
Mg (0.250, 0.298, 0.375)
Mg (0.298, 0.750, 0.625)
Mg (0.702, 0.250, 0.625)
Mg (0.750, 0.702, 0.375)
Mg (0.750, 0.798, 0.875)
Mg (0.798, 0.250, 0.125)
Tc (0.000, 0.000, 0.500)
Tc (0.000, 0.500, 0.750)
Tc (0.500, 0.000, 0.250)
Tc (0.500, 0.500, 0.000)
S (0.000, 0.000, 0.000)
S (0.000, 0.500, 0.250)
S (0.500, 0.000, 0.750)
S (0.500, 0.500, 0.500)